(1)
This record from Alexandria via LeMat-Bulk describes an optimized crystal structure of GdThZr2. The functional is PBE.

Cell: 5.3422 5.3422 5.3422 Å, 60.00 60.00 60.00°
Fractional positions:
Zr 0.2500 0.2500 0.2500
Gd 0.5000 0.5000 0.5000
Th 0.0000 0.0000 0.0000
Zr 0.7500 0.7500 0.7500

Properties
ΔH_f (0 K): 0.18 eV per atom
energy above the lowest structure with this stoichiometry: 61 meV per atom
density of states at the Fermi level: 6.55 states/eV/f.u.
total magnetic moment: 1.98 μB per atom
calculated volume: 26.95 Å³ per atom

***

(2)
This record from Alexandria via LeMat-Bulk describes an optimized crystal structure of TbSm2Au. The functional is PBE.

Cell: 3.7014 3.7014 10.4492 Å, 79.80 79.80 60.00°
Fractional positions:
Sm 0.2617 0.2617 0.2150
Tb 0.5000 0.5000 0.5000
Au 0.0000 0.0000 0.0000
Sm 0.7383 0.7383 0.7850

Properties
ΔH_f (0 K): -0.25 eV per atom
energy above the lowest structure with this stoichiometry: 159 meV per atom
density of states at the Fermi level: 4.03 states/eV/f.u.
total magnetic moment: 0.00 μB per atom
calculated volume: 30.34 Å³ per atom

***

(3)
This record from Alexandria via LeMat-Bulk describes an optimized crystal structure of Er2OsBr. The functional is PBE.

Cell: 3.9740 3.9740 7.9412 Å, 75.51 75.51 60.00°
Fractional positions:
Br 0.5000 0.5000 0.5000
Er 0.2685 0.2685 0.1946
Os 0.0000 0.0000 0.0000
Er 0.7315 0.7315 0.8054

Properties
energy above the lowest structure with this stoichiometry: 104 meV per atom
density of states at the Fermi level: 2.72 states/eV/f.u.
total magnetic moment: 0.00 μB per atom
formation energy from raw total energies: -610 meV per atom
calculated volume: 25.99 Å³ per atom

***

(4)
This record from Alexandria via LeMat-Bulk describes an optimized crystal structure of La12Pr7Ho. The functional is PBE.

Cell: 8.9880 8.9880 8.9880 Å, 89.64 89.64 89.64°
Fractional positions:
La 0.1440 0.4854 0.6019
La 0.7469 0.2790 0.1440
La 0.4854 0.6019 0.1440
Pr 0.1382 0.3840 0.0736
La 0.6019 0.1440 0.4854
La 0.2531 0.7210 0.8560
Pr 0.3840 0.0736 0.1382
La 0.5146 0.3981 0.8560
La 0.8560 0.5146 0.3981
La 0.1440 0.7469 0.2790
Ho 0.0000 0.0000 0.0000
Pr 0.6160 0.9264 0.8618
La 0.8560 0.2531 0.7210
Pr 0.9264 0.8618 0.6160
Pr 0.8618 0.6160 0.9264
Pr 0.0736 0.1382 0.3840
La 0.3981 0.8560 0.5146
La 0.7210 0.8560 0.2531
La 0.2790 0.1440 0.7469
Pr 0.5000 0.5000 0.5000

Properties
ΔH_f (0 K): 0.17 eV per atom
energy above the lowest structure with this stoichiometry: 120 meV per atom
density of states at the Fermi level: 38.46 states/eV/f.u.
total magnetic moment: 0.00 μB per atom
calculated volume: 36.30 Å³ per atom

***

(5)
This record from Alexandria via LeMat-Bulk describes an optimized crystal structure of SeNCl. The functional is PBE.

Cell: 4.4259 8.0758 15.4397 Å, 69.37 58.27 91.32°
Fractional positions:
Se 0.8889 0.8437 0.0600
N 0.4808 0.6099 0.3565
Cl 0.9799 0.5424 0.8721
Se 0.4307 0.7469 0.9588
N 0.9959 0.8142 0.6239
Cl 0.2047 0.9726 0.1957
Se 0.1111 0.1563 0.9400
Se 0.5693 0.2531 0.0412
Cl 0.7953 0.0274 0.8043
N 0.0041 0.1858 0.3761
Cl 0.0201 0.4576 0.1278
N 0.5192 0.3901 0.6435

Properties
density of states at the Fermi level: 0.61 states/eV/f.u.
total magnetic moment: 1.00 μB per atom
formation energy from raw total energies: 1605 meV per atom
calculated volume: 35.33 Å³ per atom

***

(6)
This record from Alexandria via LeMat-Bulk describes an optimized crystal structure of TlAsPtBr2. The functional is PBE.

Cell: 5.4798 5.4798 5.5991 Å, 90.00 90.00 90.00°
Fractional positions:
Br 0.5000 0.0000 0.0000
Pt 0.5000 0.5000 0.5000
As 0.0000 0.0000 0.5000
Br 0.0000 0.5000 0.0000
Tl 0.0000 0.0000 0.0000

Properties
energy above the lowest structure with this stoichiometry: 1131 meV per atom
density of states at the Fermi level: 2.93 states/eV/f.u.
total magnetic moment: 0.31 μB per atom
formation energy from raw total energies: 1034 meV per atom
calculated volume: 33.63 Å³ per atom

***

(7)
This record from Alexandria via LeMat-Bulk describes an optimized crystal structure of ScMn2B4. The functional is PBE.

Cell: 3.0253 3.2191 6.8590 Å, 103.57 102.74 90.00°
Fractional positions:
B 0.6463 0.6463 0.2925
Mn 0.1877 0.1877 0.3753
Mn 0.8123 0.8123 0.6247
B 0.3537 0.3537 0.7075
B 0.0740 0.5740 0.1480
B 0.9260 0.4260 0.8520
Sc 0.5000 0.0000 0.0000

Properties
ΔH_f (0 K): -0.56 eV per atom
density of states at the Fermi level: 3.96 states/eV/f.u.
total magnetic moment: 0.54 μB per atom
calculated volume: 9.03 Å³ per atom

***

(8)
This record from Alexandria via LeMat-Bulk describes an optimized crystal structure of AsIr2Ru. The functional is PBE.

Cell: 4.7492 4.7492 4.8490 Å, 73.52 73.52 34.55°
Fractional positions:
Ir 0.7465 0.7465 0.7460
Ru 0.5154 0.5154 0.4817
Ir 0.9815 0.9815 0.9798
As 0.2566 0.2566 0.2925

Properties
ΔH_f (0 K): 0.15 eV per atom
density of states at the Fermi level: 3.16 states/eV/f.u.
total magnetic moment: 0.00 μB per atom
calculated volume: 14.81 Å³ per atom

***

(9)
This record from Alexandria via LeMat-Bulk describes an optimized crystal structure of Na2TbPr3S6. The functional is PBE.

Cell: 7.0496 7.0496 7.0271 Å, 99.59 99.59 119.95°
Fractional positions:
Na 0.6657 0.3343 0.0000
S 0.9189 0.5942 0.7572
S 0.2410 0.2410 0.7515
Pr 0.1705 0.8295 0.5000
Pr 0.8295 0.1705 0.5000
S 0.5942 0.9189 0.7572
S 0.4058 0.0811 0.2428
S 0.7590 0.7590 0.2485
Pr 0.5000 0.5000 0.5000
S 0.0811 0.4058 0.2428
Tb 0.0000 0.0000 0.0000
Na 0.3343 0.6657 0.0000

Properties
density of states at the Fermi level: 3.24 states/eV/f.u.
total magnetic moment: 0.00 μB per atom
formation energy from raw total energies: -1860 meV per atom
calculated volume: 23.78 Å³ per atom

***

(10)
This record from Alexandria via LeMat-Bulk describes an optimized crystal structure of NaTaMn2Si. The functional is PBE.

Cell: 4.6400 5.4607 4.6400 Å, 90.00 90.00 90.00°
Fractional positions:
Na 0.0000 0.5000 0.0000
Ta 0.0000 0.0000 0.0000
Mn 0.5000 0.0000 0.0000
Si 0.5000 0.5000 0.5000
Mn 0.0000 0.0000 0.5000

Properties
density of states at the Fermi level: 4.43 states/eV/f.u.
total magnetic moment: 0.94 μB per atom
formation energy from raw total energies: 1620 meV per atom
calculated volume: 23.51 Å³ per atom

***

(11)
This record from Alexandria via LeMat-Bulk describes an optimized crystal structure of BaBiAs2Se. The functional is PBE.

Cell: 5.4602 5.4602 5.7002 Å, 90.00 90.00 90.00°
Fractional positions:
Ba 0.5000 0.5000 0.5000
Se 0.0000 0.0000 0.5000
Bi 0.0000 0.0000 0.0000
As 0.0000 0.5000 0.0000
As 0.5000 0.0000 0.0000

Properties
energy above the lowest structure with this stoichiometry: 0 meV per atom
density of states at the Fermi level: 5.92 states/eV/f.u.
total magnetic moment: 0.00 μB per atom
formation energy from raw total energies: -140 meV per atom
calculated volume: 33.99 Å³ per atom

***

(12)
This record from Alexandria via LeMat-Bulk describes an optimized crystal structure of DyEr2Ge2Rh5. The functional is PBE.

Cell: 3.6655 9.9046 9.9046 Å, 90.00 90.00 90.00°
Fractional positions:
Rh 0.5000 0.5702 0.7159
Dy 0.0000 0.5000 0.5000
Rh 0.5000 0.7159 0.4298
Ge 0.0000 0.8762 0.3762
Rh 0.5000 0.0702 0.7841
Ge 0.0000 0.3762 0.1238
Ge 0.0000 0.1238 0.6238
Rh 0.5000 0.9298 0.2159
Rh 0.5000 0.2841 0.5702
Rh 0.5000 0.5000 0.0000
Rh 0.5000 0.2159 0.0702
Er 0.0000 0.6728 0.1728
Er 0.0000 0.1728 0.3272
Dy 0.0000 0.0000 0.0000
Er 0.0000 0.3272 0.8272
Ge 0.0000 0.6238 0.8762
Rh 0.5000 0.4298 0.2841
Er 0.0000 0.8272 0.6728
Rh 0.5000 0.0000 0.5000
Rh 0.5000 0.7841 0.9298

Properties
ΔH_f (0 K): -0.87 eV per atom
density of states at the Fermi level: 5.03 states/eV/f.u.
total magnetic moment: 0.00 μB per atom
calculated volume: 17.98 Å³ per atom